First-principles (PBE-GGA) data for crystalline MgZn2Cd4 at its relaxed geometry, as listed in the Alexandria database.

Calculated values
DOS at the Fermi energy ... 0.1815 states/eV per atom
DFT formation energy ... 0.029 eV per atom
SG ... P-1 (2)

Cell lengths 5.1829, 5.8131, 6.0989 Å; angles 78.59, 66.34, 61.21 degrees
Fractional positions:
Cd 0.6852 0.6182 0.0043
Cd 0.2992 0.0025 0.3925
Cd 0.3147 0.3817 0.9957
Cd 0.7008 0.9975 0.6075
Mg 0.0000 0.0000 0.0000
Zn 0.7469 0.5004 0.5067
Zn 0.2532 0.4996 0.4933